This record from Alexandria via LeMat-Bulk describes a relaxed Dy2Ge2PdRh5 crystal. The functional is GGA-PBE.

Properties
- M_tot (μB/cell) = 0.0
- energy of formation from the pure elements (meV per atom) = -687
- Fermi-level density of states (states/eV/cell) = 16.1
- energy (eV per atom) = -6.7254

Cell lengths 9.6629, 9.6629, 3.6364 Å; angles 90.00, 90.00, 90.00 degrees
Closest atoms and distances in Å follow each position.
Atoms (fractional coordinates):
1 Dy 0.1744 0.3256 0.0000  3 Ge 2.74-2.94, 2 Rh 3.00
2 Dy 0.3256 0.8256 0.0000  3 Ge 2.74-2.94, 2 Rh 3.00
3 Dy 0.6744 0.1744 0.0000  3 Ge 2.74-2.94, 2 Rh 3.00
4 Dy 0.8256 0.6744 0.0000  3 Ge 2.74-2.94, 2 Rh 3.00
5 Ge 0.1254 0.6254 0.0000  6 Rh 2.49-2.50, 1 Dy 2.74
6 Ge 0.3746 0.1254 0.0000  6 Rh 2.49-2.50, 1 Dy 2.74
7 Ge 0.6254 0.8746 0.0000  6 Rh 2.49-2.50, 1 Dy 2.74
8 Ge 0.8746 0.3746 0.0000  6 Rh 2.49-2.50, 1 Dy 2.74
9 Pd 0.0000 0.0000 0.0000  8 Rh 2.79
10 Pd 0.5000 0.5000 0.0000  8 Rh 2.79
11 Rh 0.0000 0.5000 0.5000  4 Ge 2.50
12 Rh 0.0674 0.7917 0.5000  2 Ge 2.49
13 Rh 0.2083 0.0674 0.5000  2 Ge 2.49
14 Rh 0.2917 0.5674 0.5000  2 Ge 2.49
15 Rh 0.4326 0.2917 0.5000  2 Ge 2.49
16 Rh 0.5000 0.0000 0.5000  4 Ge 2.50
17 Rh 0.5674 0.7083 0.5000  2 Ge 2.49
18 Rh 0.7083 0.4326 0.5000  2 Ge 2.49
19 Rh 0.7917 0.9326 0.5000  2 Ge 2.49
20 Rh 0.9326 0.2083 0.5000  2 Ge 2.49